The following is a DFT calculation (PBE-GGA) of a geometry-optimized Mg3AlRe structure.

**ΔE to the lowest computed polymorph**: 285.5 meV/atom
**DFT formation energy**: 1.368 eV per atom

Cell: 5.008 5.008 5.008 Å, 90.00 90.00 90.00°
Element x y z (fractional)
1 Re 0.500 0.500 0.500
2 Mg 0.000 0.500 0.000
3 Mg 0.000 0.000 0.500
4 Mg 0.500 0.000 0.000
5 Al 0.000 0.000 0.000